No. 1
This record from Alexandria via LeMat-Bulk describes an optimized crystal structure of SrAu3Br. The functional is GGA-PBE.

## Properties
* relative energy among the computed polymorphs: 0 meV per atom
* energy relative to the elements, uncorrected: 115 kJ/mol of formula units

The structure in CIF format:
```
data_SrAu3Br
_chemical_formula_sum 'Sr1 Au3 Br1'
_space_group_name_H-M_alt 'P m -3 m'
_space_group_IT_number 221
_space_group_name_Hall '-P 4 2 3'
_cell_length_a 5.2911
_cell_length_b 5.2911
_cell_length_c 5.2911
_cell_angle_alpha 90.00
_cell_angle_beta 90.00
_cell_angle_gamma 90.00
loop_
_atom_site_label
_atom_site_fract_x
_atom_site_fract_y
_atom_site_fract_z
_atom_site_occupancy
Sr1 0.0000 0.0000 0.0000 1
Au1 0.0000 0.5000 0.5000 1
Br1 0.5000 0.5000 0.5000 1
```


No. 2
This record from Alexandria via LeMat-Bulk describes an optimized crystal structure of SrAu2Br. The functional is GGA-PBE.

## Properties
* relative energy among the computed polymorphs: 527 meV per atom
* energy relative to the elements, uncorrected: -146 kJ/mol of formula units

The structure in CIF format:
```
data_SrAu2Br
_chemical_formula_sum 'Sr4 Au8 Br4'
_space_group_name_H-M_alt 'F m -3 m'
_space_group_IT_number 225
_space_group_name_Hall '-F 4 2 3'
_cell_length_a 7.4843
_cell_length_b 7.4843
_cell_length_c 7.4843
_cell_angle_alpha 90.00
_cell_angle_beta 90.00
_cell_angle_gamma 90.00
loop_
_atom_site_label
_atom_site_fract_x
_atom_site_fract_y
_atom_site_fract_z
_atom_site_occupancy
Sr1 0.0000 0.0000 0.0000 1
Au1 0.2500 0.2500 0.2500 1
Br1 0.0000 0.0000 0.5000 1
```


No. 3
This record from Alexandria via LeMat-Bulk describes an optimized crystal structure of SrAu3Br. The functional is GGA-PBE.

## Properties
* relative energy among the computed polymorphs: 398 meV per atom
* energy relative to the elements, uncorrected: 307 kJ/mol of formula units

The structure in CIF format:
```
data_SrAu3Br
_chemical_formula_sum 'Sr1 Au3 Br1'
_space_group_name_H-M_alt 'P m -3 m'
_space_group_IT_number 221
_space_group_name_Hall '-P 4 2 3'
_cell_length_a 5.8398
_cell_length_b 5.8398
_cell_length_c 5.8398
_cell_angle_alpha 90.00
_cell_angle_beta 90.00
_cell_angle_gamma 90.00
loop_
_atom_site_label
_atom_site_fract_x
_atom_site_fract_y
_atom_site_fract_z
_atom_site_occupancy
Sr1 0.0000 0.0000 0.0000 1
Au1 0.0000 0.0000 0.5000 1
Br1 0.5000 0.5000 0.5000 1
```


No. 4
This record from Alexandria via LeMat-Bulk describes an optimized crystal structure of Sr2Au2Br. The functional is GGA-PBE.

## Properties
* relative energy among the computed polymorphs: 80 meV per atom
* energy relative to the elements, uncorrected: -465 kJ/mol of formula units

The structure in CIF format:
```
data_Sr2Au2Br
_chemical_formula_sum 'Sr4 Au4 Br2'
_space_group_name_H-M_alt 'P 4/m b m'
_space_group_IT_number 127
_space_group_name_Hall '-P 4 2ab'
_cell_length_a 8.7141
_cell_length_b 8.7141
_cell_length_c 3.9332
_cell_angle_alpha 90.00
_cell_angle_beta 90.00
_cell_angle_gamma 90.00
loop_
_atom_site_label
_atom_site_fract_x
_atom_site_fract_y
_atom_site_fract_z
_atom_site_occupancy
Sr1 0.1806 0.3194 0.0000 1
Au1 0.1146 0.6146 0.5000 1
Br1 0.0000 0.0000 0.5000 1
```


No. 5
This record from Alexandria via LeMat-Bulk describes an optimized crystal structure of Sr2AuBr. The functional is GGA-PBE.

## Properties
* relative energy among the computed polymorphs: 0 meV per atom
* energy relative to the elements, uncorrected: -451 kJ/mol of formula units

The structure in CIF format:
```
data_Sr2AuBr
_chemical_formula_sum 'Sr4 Au2 Br2'
_space_group_name_H-M_alt 'C 1 2/m 1'
_space_group_IT_number 12
_cell_length_a 7.7184
_cell_length_b 4.4524
_cell_length_c 8.4843
_cell_angle_alpha 90.00
_cell_angle_beta 107.73
_cell_angle_gamma 90.00
loop_
_space_group_symop_operation_xyz
'x,y,z'
'-x,-y,-z'
'-x,y,-z'
'x,-y,z'
'x+1/2,y+1/2,z'
'-x+1/2,-y+1/2,-z'
'-x+1/2,y+1/2,-z'
'x+1/2,-y+1/2,z'
loop_
_atom_site_label
_atom_site_fract_x
_atom_site_fract_y
_atom_site_fract_z
_atom_site_occupancy
Sr1 0.2398 0.0000 0.2179 1
Au1 0.0000 0.5000 0.0000 1
Br1 0.0000 0.0000 0.5000 1
```


No. 6
This record from Alexandria via LeMat-Bulk describes an optimized crystal structure of SrAuBr6. The functional is GGA-PBE.

## Properties
* energy relative to the elements, uncorrected: -600 kJ/mol of formula units

The structure in CIF format:
```
data_SrAuBr6
_chemical_formula_sum 'Sr1 Au1 Br6'
_space_group_name_H-M_alt 'P -1'
_space_group_IT_number 2
_cell_length_a 5.8851
_cell_length_b 6.2128
_cell_length_c 8.1950
_cell_angle_alpha 110.49
_cell_angle_beta 104.04
_cell_angle_gamma 90.37
loop_
_space_group_symop_operation_xyz
'x,y,z'
'-x,-y,-z'
loop_
_atom_site_label
_atom_site_fract_x
_atom_site_fract_y
_atom_site_fract_z
_atom_site_occupancy
Sr1 0.0000 0.0000 0.0000 1
Au1 0.0000 0.5000 0.5000 1
Br1 0.0936 0.5513 0.2360 1
Br2 0.2113 0.1504 0.4268 1
Br3 0.4986 0.2312 0.9858 1
```


No. 7
This record from Alexandria via LeMat-Bulk describes an optimized crystal structure of Sr2AuBr. The functional is GGA-PBE.

## Properties
* relative energy among the computed polymorphs: 199 meV per atom
* energy relative to the elements, uncorrected: -374 kJ/mol of formula units

The structure in CIF format:
```
data_Sr2AuBr
_chemical_formula_sum 'Sr8 Au4 Br4'
_space_group_name_H-M_alt 'I -4 2 d'
_space_group_IT_number 122
_space_group_name_Hall 'I -4 2bw'
_cell_length_a 8.2906
_cell_length_b 8.2906
_cell_length_c 8.6347
_cell_angle_alpha 90.00
_cell_angle_beta 90.00
_cell_angle_gamma 90.00
loop_
_atom_site_label
_atom_site_fract_x
_atom_site_fract_y
_atom_site_fract_z
_atom_site_occupancy
Sr1 0.2417 0.7500 0.1250 1
Au1 0.0000 0.0000 0.0000 1
Br1 0.0000 0.0000 0.5000 1
```


No. 8
This record from Alexandria via LeMat-Bulk describes an optimized crystal structure of SrAu2Br. The functional is GGA-PBE.

## Properties
* relative energy among the computed polymorphs: 184 meV per atom
* energy relative to the elements, uncorrected: -278 kJ/mol of formula units

The structure in CIF format:
```
data_SrAu2Br
_chemical_formula_sum 'Sr4 Au8 Br4'
_space_group_name_H-M_alt 'F m m m'
_space_group_IT_number 69
_space_group_name_Hall '-F 2 2'
_cell_length_a 5.8509
_cell_length_b 5.8950
_cell_length_c 12.3164
_cell_angle_alpha 90.00
_cell_angle_beta 90.00
_cell_angle_gamma 90.00
loop_
_atom_site_label
_atom_site_fract_x
_atom_site_fract_y
_atom_site_fract_z
_atom_site_occupancy
Sr1 0.0000 0.0000 0.0000 1
Au1 0.0000 0.2500 0.2500 1
Br1 0.0000 0.0000 0.5000 1
```


| no. | electronic total energy (eV/atom) | DOS(E_F) (states/eV/f.u.) |
| --- | --- | --- |
| 1 | -2.399 | 3.37 |
| 2 | -2.855 | 4.98 |
| 3 | -2.001 | 3.39 |
| 4 | -3.283 | 1.84 |
| 5 | -3.247 | 1.37 |
| 6 | -2.652 | 1.53 |
| 7 | -3.047 | 1.10 |
| 8 | -3.198 | 0.97 |